Run 1
## LaCuAg2Pt (PBE)

Data for a relaxed structure of LaCuAg2Pt.

abc: 5.094 5.094 4.743
angles: 90.00 90.00 90.00
Space group P4/mmm (No. 123)
Symmetry-distinct sites (fractional):
La: 0.000 0.000 0.000 x1
Cu: 0.500 0.500 0.000 x1
Ag: 0.000 0.500 0.500 x2
Pt: 0.500 0.500 0.500 x1

Computed properties:
The density of states at the Fermi level comes out at 3.77 states/eV per cell.

---

Run 2
## LaCuAg2Pt (PBE)

Data for a relaxed structure of LaCuAg2Pt.

abc: 4.695 4.695 5.474
angles: 90.00 90.00 90.00
Space group P4/mmm (No. 123)
Symmetry-distinct sites (fractional):
La: 0.000 0.000 0.000 x1
Cu: 0.000 0.000 0.500 x1
Ag: 0.000 0.500 0.500 x2
Pt: 0.500 0.500 0.000 x1

Computed properties:
The density of states at the Fermi level comes out at 2.98 states/eV per cell.

---

Unit: kJ/mol of atoms. Relative energies: run 1 0.0; run 2 12.5.

---

Run 1
## LaSmCuAg (PBE)

Data for a relaxed structure of LaSmCuAg.

abc: 7.400 7.400 7.400
angles: 90.00 90.00 90.00
Space group F-43m (No. 216)
Symmetry-distinct sites (fractional):
La: 0.000 0.000 0.000 x4
Sm: 0.000 0.000 0.500 x4
Cu: 0.250 0.250 0.250 x4
Ag: 0.250 0.250 0.750 x4

Computed properties:
The density of states at the Fermi level comes out at 15.35 states/eV per cell.

---

Run 2
## LaSmCuAg (PBE)

Data for a relaxed structure of LaSmCuAg.

abc: 3.671 3.671 7.427
angles: 90.00 90.00 90.00
Space group P4mm (No. 99)
Symmetry-distinct sites (fractional):
La: 0.000 0.000 0.000 x1
Sm: 0.000 0.000 0.471 x1
Cu: 0.500 0.500 0.253 x1
Ag: 0.500 0.500 0.719 x1

Computed properties:
The density of states at the Fermi level comes out at 3.28 states/eV per cell.

---

Unit: kJ/mol of atoms. Relative energies: run 1 2.9; run 2 0.0.

---

Run 1
## LiCu2Ag (PBE)

Data for a relaxed structure of LiCu2Ag.

abc: 6.042 6.042 6.042
angles: 90.00 90.00 90.00
Space group F-43m (No. 216)
Symmetry-distinct sites (fractional):
Li: 0.000 0.000 0.000 x4
Cu: 0.000 0.000 0.500 x4
Cu: 0.250 0.250 0.750 x4
Ag: 0.250 0.250 0.250 x4

Computed properties:
The density of states at the Fermi level comes out at 9.03 states/eV per cell.

---

Run 2
## LiCu2Ag (PBE)

Data for a relaxed structure of LiCu2Ag.

abc: 2.7667 2.7667 25.9244
angles: 90.00 90.00 120.00
Space group R-3m (No. 166, hexagonal axes)
Symmetry-distinct sites (fractional):
Li: 0.0000 0.0000 0.0000 x3
Cu: 0.0000 0.0000 0.2529 x6
Ag: 0.0000 0.0000 0.5000 x3

Computed properties:
The density of states at the Fermi level comes out at 6.03 states/eV per cell.

---

Run 3
## LiCu2Ag (PBE)

Data for a relaxed structure of LiCu2Ag.

abc: 8.799 2.810 4.632
angles: 90.00 101.70 90.00
Space group Cm (No. 8)
Symmetry-distinct sites (fractional):
Li: 0.000 0.000 0.000 x2
Cu: 0.008 0.500 0.527 x2
Cu: 0.245 0.000 0.733 x2
Ag: 0.258 0.500 0.243 x2

Computed properties:
The density of states at the Fermi level comes out at 1.85 states/eV per cell.

---

Unit: kJ/mol of atoms. Relative energies: run 1 0.6; run 2 11.8; run 3 0.0.

---

Run 1
## LiCu2Ag (PBE)

Data for a relaxed structure of LiCu2Ag.

abc: 3.600 3.790 8.032
angles: 90.00 90.00 90.00
Space group Immm (No. 71)
Symmetry-distinct sites (fractional):
Li: 0.000 0.000 0.000 x2
Cu: 0.000 0.500 0.252 x4
Ag: 0.000 0.000 0.500 x2

Computed properties:
The density of states at the Fermi level comes out at 2.23 states/eV per cell.

---

Run 2
## LiCu2Ag (PBE)

Data for a relaxed structure of LiCu2Ag.

abc: 9.076 2.802 4.434
angles: 90.00 100.80 90.00
Space group C2/m (No. 12)
Symmetry-distinct sites (fractional):
Li: 0.000 0.000 0.000 x2
Cu: 0.248 0.000 0.754 x4
Ag: 0.000 0.500 0.500 x2

Computed properties:
The density of states at the Fermi level comes out at 2.39 states/eV per cell.

---

Unit: kJ/mol of atoms. Relative energies: run 1 0.0; run 2 2.0.